Entry from the Alexandria database: a relaxed structure of Fe3Tc (GGA-PBE).

a b c (Å): 3.572 3.572 3.572
angles (deg): 90.00 90.00 90.00
Atoms (fractional coordinates):
Fe (0.000, 0.000, 0.500)
Fe (0.000, 0.500, 0.000)
Fe (0.500, 0.000, 0.000)
Tc (0.500, 0.500, 0.500)

Values from the calculation:
energy of formation: 0.12 eV per atom
space group: No. 221
volume: 45.6 Å³ per cell
total magnetic moment: 0.75 μB per formula unit